# Tm12Tl6Ag PBE relaxed
data_Tm12Tl6Ag
_cell_length_a 13.3181
_cell_length_b 13.3181
_cell_length_c 12.1642
_cell_angle_alpha 90.00
_cell_angle_beta 90.00
_cell_angle_gamma 120.00
_symmetry_space_group_name_H-M 'R -3'
_symmetry_Int_Tables_number 148
_symmetry_space_group_name_Hall '-R 3'
loop_
_atom_site_label
_atom_site_type_symbol
_atom_site_fract_x
_atom_site_fract_y
_atom_site_fract_z
_atom_site_occupancy
Tm1 Tm 0.0366 0.8233 0.3947 1
Tm2 Tm 0.0471 0.8391 0.8907 1
Tl1 Tl 0.0483 0.7838 0.6489 1
Ag1 Ag 0.0000 0.0000 0.0000 1
# Energy of formation in eV/atom: 0.041

# Tm2TlAg3 PBE relaxed
data_Tm2TlAg3
_cell_length_a 3.831
_cell_length_b 4.005
_cell_length_c 19.101
_cell_angle_alpha 90.00
_cell_angle_beta 90.00
_cell_angle_gamma 90.00
_symmetry_space_group_name_H-M 'I m m 2'
_symmetry_Int_Tables_number 44
_symmetry_space_group_name_Hall 'I 2 -2'
loop_
_atom_site_label
_atom_site_type_symbol
_atom_site_fract_x
_atom_site_fract_y
_atom_site_fract_z
_atom_site_occupancy
Tm1 Tm 0.000 0.000 0.000 1
Tm2 Tm 0.000 0.500 0.219 1
Tl1 Tl 0.000 0.000 0.404 1
Ag1 Ag 0.000 0.000 0.560 1
Ag2 Ag 0.000 0.500 0.653 1
Ag3 Ag 0.000 0.500 0.797 1
# Energy above the most stable polymorph in this dataset in meV per atom: 104.8
# Energy of formation in eV/atom: -0.125

# Tm2TlAg PBE relaxed
data_Tm2TlAg
_cell_length_a 3.618
_cell_length_b 3.618
_cell_length_c 7.565
_cell_angle_alpha 90.00
_cell_angle_beta 90.00
_cell_angle_gamma 90.00
_symmetry_space_group_name_H-M 'P 4/m m m'
_symmetry_Int_Tables_number 123
_symmetry_space_group_name_Hall '-P 4 2'
loop_
_atom_site_label
_atom_site_type_symbol
_atom_site_fract_x
_atom_site_fract_y
_atom_site_fract_z
_atom_site_occupancy
Tm1 Tm 0.000 0.000 0.235 1
Tl1 Tl 0.500 0.500 0.500 1
Ag1 Ag 0.500 0.500 0.000 1
# Energy above the most stable polymorph in this dataset in meV per atom: 2.3
# Energy of formation in eV/atom: -0.328

# TmTlAg PBE relaxed
data_TmTlAg
_cell_length_a 6.788
_cell_length_b 6.788
_cell_length_c 6.788
_cell_angle_alpha 90.00
_cell_angle_beta 90.00
_cell_angle_gamma 90.00
_symmetry_space_group_name_H-M 'F -4 3 m'
_symmetry_Int_Tables_number 216
_symmetry_space_group_name_Hall 'F -4 2 3'
loop_
_atom_site_label
_atom_site_type_symbol
_atom_site_fract_x
_atom_site_fract_y
_atom_site_fract_z
_atom_site_occupancy
Tm1 Tm 0.000 0.000 0.000 1
Tl1 Tl 0.000 0.000 0.500 1
Ag1 Ag 0.250 0.250 0.250 1
# Energy of formation in eV/atom: -0.141

# Tm5TlAg2 PBE relaxed
data_Tm5TlAg2
_cell_length_a 7.894
_cell_length_b 7.894
_cell_length_c 13.431
_cell_angle_alpha 90.00
_cell_angle_beta 90.00
_cell_angle_gamma 90.00
_symmetry_space_group_name_H-M 'I 4/m c m'
_symmetry_Int_Tables_number 140
_symmetry_space_group_name_Hall '-I 4 2c'
loop_
_atom_site_label
_atom_site_type_symbol
_atom_site_fract_x
_atom_site_fract_y
_atom_site_fract_z
_atom_site_occupancy
Tm1 Tm 0.000 0.000 0.000 1
Tm2 Tm 0.155 0.345 0.150 1
Tl1 Tl 0.000 0.000 0.250 1
Ag1 Ag 0.134 0.366 0.500 1
# Energy of formation in eV/atom: -0.228

# Tm7TlAg4 PBE relaxed
data_Tm7TlAg4
_cell_length_a 14.394
_cell_length_b 5.629
_cell_length_c 8.842
_cell_angle_alpha 90.00
_cell_angle_beta 118.51
_cell_angle_gamma 90.00
_symmetry_space_group_name_H-M 'C 1 2/m 1'
_symmetry_Int_Tables_number 12
_symmetry_space_group_name_Hall '-C 2y'
loop_
_atom_site_label
_atom_site_type_symbol
_atom_site_fract_x
_atom_site_fract_y
_atom_site_fract_z
_atom_site_occupancy
Tm1 Tm 0.000 0.000 0.000 1
Tm2 Tm 0.078 0.500 0.402 1
Tm3 Tm 0.176 0.500 0.880 1
Tm4 Tm 0.210 0.000 0.665 1
Tl1 Tl 0.000 0.500 0.000 1
Ag1 Ag 0.017 0.000 0.679 1
Ag2 Ag 0.196 0.000 0.323 1
# Energy of formation in eV/atom: -0.064

# Tm4Tl2Ag PBE relaxed
data_Tm4Tl2Ag
_cell_length_a 6.937
_cell_length_b 6.666
_cell_length_c 8.937
_cell_angle_alpha 90.00
_cell_angle_beta 109.87
_cell_angle_gamma 90.00
_symmetry_space_group_name_H-M 'P 1 21/m 1'
_symmetry_Int_Tables_number 11
_symmetry_space_group_name_Hall '-P 2yb'
loop_
_atom_site_label
_atom_site_type_symbol
_atom_site_fract_x
_atom_site_fract_y
_atom_site_fract_z
_atom_site_occupancy
Tm1 Tm 0.086 0.250 0.049 1
Tm2 Tm 0.175 0.008 0.727 1
Tm3 Tm 0.318 0.750 0.350 1
Tl1 Tl 0.207 0.250 0.439 1
Tl2 Tl 0.426 0.750 0.037 1
Ag1 Ag 0.497 0.250 0.284 1
# Energy above the most stable polymorph in this dataset in meV per atom: 63.9
# Energy of formation in eV/atom: -0.132

# Tm12Tl5Ag2 PBE relaxed
data_Tm12Tl5Ag2
_cell_length_a 16.959
_cell_length_b 7.155
_cell_length_c 8.928
_cell_angle_alpha 90.00
_cell_angle_beta 96.79
_cell_angle_gamma 90.00
_symmetry_space_group_name_H-M 'C 1 2/m 1'
_symmetry_Int_Tables_number 12
_symmetry_space_group_name_Hall '-C 2y'
loop_
_atom_site_label
_atom_site_type_symbol
_atom_site_fract_x
_atom_site_fract_y
_atom_site_fract_z
_atom_site_occupancy
Tm1 Tm 0.004 0.000 0.192 1
Tm2 Tm 0.043 0.500 0.685 1
Tm3 Tm 0.149 0.242 0.011 1
Tm4 Tm 0.157 0.259 0.420 1
Tl1 Tl 0.000 0.500 0.000 1
Tl2 Tl 0.200 0.000 0.735 1
Tl3 Tl 0.229 0.500 0.751 1
Ag1 Ag 0.000 0.183 0.500 1
# Energy of formation in eV/atom: -0.110

# TmTlAg4 PBE relaxed
data_TmTlAg4
_cell_length_a 7.933
_cell_length_b 7.933
_cell_length_c 7.933
_cell_angle_alpha 90.00
_cell_angle_beta 90.00
_cell_angle_gamma 90.00
_symmetry_space_group_name_H-M 'F -4 3 m'
_symmetry_Int_Tables_number 216
_symmetry_space_group_name_Hall 'F -4 2 3'
loop_
_atom_site_label
_atom_site_type_symbol
_atom_site_fract_x
_atom_site_fract_y
_atom_site_fract_z
_atom_site_occupancy
Tm1 Tm 0.000 0.000 0.000 1
Tl1 Tl 0.250 0.250 0.250 1
Ag1 Ag 0.125 0.125 0.625 1
# Energy of formation in eV/atom: -0.146

# YTmTlAg PBE relaxed
data_YTmTlAg
_cell_length_a 3.641
_cell_length_b 3.641
_cell_length_c 7.630
_cell_angle_alpha 90.00
_cell_angle_beta 90.00
_cell_angle_gamma 90.00
_symmetry_space_group_name_H-M 'P 4 m m'
_symmetry_Int_Tables_number 99
_symmetry_space_group_name_Hall 'P 4 -2'
loop_
_atom_site_label
_atom_site_type_symbol
_atom_site_fract_x
_atom_site_fract_y
_atom_site_fract_z
_atom_site_occupancy
Y1 Y 0.000 0.000 0.000 1
Tm1 Tm 0.000 0.000 0.530 1
Tl1 Tl 0.500 0.500 0.268 1
Ag1 Ag 0.500 0.500 0.752 1
# Energy of formation in eV/atom: -0.347

# YTmTlAg PBE relaxed
data_YTmTlAg
_cell_length_a 7.402
_cell_length_b 7.402
_cell_length_c 7.402
_cell_angle_alpha 90.00
_cell_angle_beta 90.00
_cell_angle_gamma 90.00
_symmetry_space_group_name_H-M 'F -4 3 m'
_symmetry_Int_Tables_number 216
_symmetry_space_group_name_Hall 'F -4 2 3'
loop_
_atom_site_label
_atom_site_type_symbol
_atom_site_fract_x
_atom_site_fract_y
_atom_site_fract_z
_atom_site_occupancy
Y1 Y 0.000 0.000 0.000 1
Tm1 Tm 0.000 0.000 0.500 1
Tl1 Tl 0.250 0.250 0.250 1
Ag1 Ag 0.250 0.250 0.750 1
# Energy of formation in eV/atom: -0.349

# YTm2Tl2Ag2 PBE relaxed
data_YTm2Tl2Ag2
_cell_length_a 4.8808
_cell_length_b 4.8808
_cell_length_c 25.6916
_cell_angle_alpha 90.00
_cell_angle_beta 90.00
_cell_angle_gamma 120.00
_symmetry_space_group_name_H-M 'R -3 m'
_symmetry_Int_Tables_number 166
_symmetry_space_group_name_Hall '-R 3 2"'
loop_
_atom_site_label
_atom_site_type_symbol
_atom_site_fract_x
_atom_site_fract_y
_atom_site_fract_z
_atom_site_occupancy
Y1 Y 0.0000 0.0000 0.0000 1
Tm1 Tm 0.0000 0.0000 0.1332 1
Tl1 Tl 0.0000 0.0000 0.2648 1
Ag1 Ag 0.0000 0.0000 0.4373 1
# Energy of formation in eV/atom: -0.151

# TmTlZnAg PBE relaxed
data_TmTlZnAg
_cell_length_a 6.990
_cell_length_b 6.990
_cell_length_c 6.990
_cell_angle_alpha 90.00
_cell_angle_beta 90.00
_cell_angle_gamma 90.00
_symmetry_space_group_name_H-M 'F -4 3 m'
_symmetry_Int_Tables_number 216
_symmetry_space_group_name_Hall 'F -4 2 3'
loop_
_atom_site_label
_atom_site_type_symbol
_atom_site_fract_x
_atom_site_fract_y
_atom_site_fract_z
_atom_site_occupancy
Tm1 Tm 0.000 0.000 0.000 1
Tl1 Tl 0.000 0.000 0.500 1
Zn1 Zn 0.250 0.250 0.750 1
Ag1 Ag 0.250 0.250 0.250 1
# Energy of formation in eV/atom: -0.160

no.,E (eV/atom)
1,-3.6806
2,-3.4358
3,-3.8677
4,-3.3711
5,-4.0312
6,-3.8205
7,-3.7703
8,-3.8565
9,-3.1862
10,-4.3855
11,-4.3869
12,-3.8429
13,-2.9008